[1]
# PmTmZrSc

An optimized crystal structure of PmTmZrSc (PBE-GGA, the Alexandria database).

Summary:
Energy of formation from the pure elements in kJ/mol of formula units: 70
Energy in eV per atom: -5.843
N(E_F) in states/eV/f.u.: 7.76
Spin magnetization in Bohr magnetons per cell: 0.6

Cell: 5.368 5.368 5.368 Å, 60.00 60.00 60.00°
Sites, in units of the cell vectors:
Pm: 0.000 0.000 0.000
Tm: 0.250 0.250 0.250
Zr: 0.500 0.500 0.500
Sc: 0.750 0.750 0.750

[2]
# CaPm5P6

An optimized crystal structure of CaPm5P6 (PBE-GGA, the Alexandria database).

Summary:
Energy of formation from the pure elements in kJ/mol of formula units: -1662
Energy in eV per atom: -6.287
N(E_F) in states/eV/f.u.: 5.05
Spin magnetization in Bohr magnetons per cell: 0.0

Cell: 7.161 7.161 7.168 Å, 99.59 99.59 120.02°
Sites, in units of the cell vectors:
Ca: 0.000 0.000 0.000
Pm: 0.166 0.834 0.500
Pm: 0.333 0.667 0.000
Pm: 0.500 0.500 0.500
Pm: 0.667 0.333 0.000
Pm: 0.834 0.166 0.500
P: 0.084 0.421 0.251
P: 0.253 0.253 0.748
P: 0.421 0.084 0.251
P: 0.579 0.916 0.749
P: 0.747 0.747 0.252
P: 0.916 0.579 0.749

- What is the energy in the first record?
  -5.843 eV per atom